First-principles (GGA-PBE) data for a relaxed CaHg2Cl crystal, as listed in Alexandria via LeMat-Bulk.

The structure in CIF format:
```
data_CaHg2Cl
_cell_length_a 3.602
_cell_length_b 3.602
_cell_length_c 8.659
_cell_angle_alpha 90.00
_cell_angle_beta 90.00
_cell_angle_gamma 90.00
_symmetry_space_group_name_H-M 'P 4 m m'
_symmetry_Int_Tables_number 99
loop_
_symmetry_equiv_pos_as_xyz
'x,y,z'
'-y,x,z'
'-x,-y,z'
'y,-x,z'
'-x,y,z'
'y,x,z'
'x,-y,z'
'-y,-x,z'
loop_
_atom_site_label
_atom_site_type_symbol
_atom_site_fract_x
_atom_site_fract_y
_atom_site_fract_z
Ca1 Ca 0.000 0.000 0.000
Hg1 Hg 0.000 0.000 0.517
Hg2 Hg 0.500 0.500 0.754
Cl1 Cl 0.500 0.500 0.153
```

energy above the lowest structure with this stoichiometry	0.00	eV per formula unit